{
  "formula": "SrAgB2",
  "functional": "GGA-PBEsol",
  "state": "optimized geometry",
  "delta_e_f_ev_per_atom": 1.082,
  "magmom_total_mub_per_cell": 0.0,
  "lattice": [[0.000, 3.122, 3.122], [3.122, 0.000, 3.122], [3.122, 3.122, 0.000]],
  "species": ["Sr", "Ag", "B", "B"],
  "fractional_positions": [[0.000, 0.000, 0.000], [0.500, 0.500, 0.500], [0.250, 0.250, 0.250], [0.750, 0.750, 0.750]]
}